(1)
Compound: Hf9Re4Ge
Source: the Alexandria database
Functional: PBE
Structure: optimized geometry

The structure in POSCAR format:
```
Hf9Re4Ge
1.0
8.605 0.000 0.000
-4.303 7.452 0.000
0.000 0.000 8.666
Hf Re Ge
18 8 2
Direct
0.082 0.541 0.250
0.194 0.388 0.547
0.194 0.388 0.953
0.194 0.806 0.547
0.194 0.806 0.953
0.388 0.194 0.047
0.388 0.194 0.453
0.459 0.541 0.250
0.459 0.918 0.250
0.541 0.082 0.750
0.541 0.459 0.750
0.612 0.806 0.547
0.612 0.806 0.953
0.806 0.194 0.047
0.806 0.194 0.453
0.806 0.612 0.047
0.806 0.612 0.453
0.918 0.459 0.750
0.000 0.000 0.000
0.000 0.000 0.500
0.109 0.219 0.250
0.109 0.891 0.250
0.219 0.109 0.750
0.781 0.891 0.250
0.891 0.109 0.750
0.891 0.781 0.750
0.333 0.667 0.750
0.667 0.333 0.250
```

* electronic total energy: -10.66 eV/atom
* energy relative to the elements: -505 kJ/mol of formula units
* magnetic moment: 0.0000 μB/atom
* space-group type: P6_3/mmc, No. 194



(2)
Compound: HfReGe3
Source: the Alexandria database
Functional: PBE
Structure: optimized geometry

The structure in POSCAR format:
```
HfReGe3
1.0
5.106 0.000 0.000
0.000 5.106 0.000
0.000 0.000 5.106
Hf Re Ge
1 1 3
Direct
0.000 0.000 0.000
0.500 0.500 0.500
0.000 0.000 0.500
0.000 0.500 0.000
0.500 0.000 0.000
```

* electronic total energy: -5.74 eV/atom
* energy relative to the elements: 731 kJ/mol of formula units
* magnetic moment: 0.9629 μB/atom
* distance to the lowest polymorph of the same formula: 3.97 eV/f.u.
* space-group type: Pm-3m, No. 221